Density functional theory data (PBE) for crystalline AgPSe at its relaxed geometry.

Cell: 3.612 3.612 11.346 Å, 90.00 90.00 90.00°
Space group I4mm (No. 107)
One atom of each set of equivalent atoms:
Ag 0.000 0.000 0.000
P 0.000 0.000 0.455
Se 0.000 0.000 0.267

Properties
VASP energy ... -3.70 eV/atom


Density functional theory data (PBE) for crystalline BeFeSiOs2 at its relaxed geometry.

Cell: 4.120 4.120 3.766 Å, 90.00 90.00 90.00°
Space group P4/mmm (No. 123)
One atom of each set of equivalent atoms:
Be 0.000 0.000 0.000
Fe 0.000 0.000 0.500
Si 0.500 0.500 0.500
Os 0.000 0.500 0.000

Properties
VASP energy ... -7.41 eV/atom


Density functional theory data (PBE) for crystalline BaTe2Os at its relaxed geometry.

Cell: 4.347 7.227 8.100 Å, 90.00 90.00 90.00°
Space group Cmmm (No. 65)
One atom of each set of equivalent atoms:
Ba 0.000 0.000 0.000
Te 0.000 0.500 0.305
Os 0.000 0.000 0.500

Properties
Offset from the most stable computed form ... 0.553 eV per atom


Density functional theory data (PBE) for crystalline Sr2AlGa at its relaxed geometry.

Cell: 6.469 4.499 9.401 Å, 90.00 107.39 90.00°
Space group P2_1/m (No. 11)
One atom of each set of equivalent atoms:
Sr 0.211 0.250 0.426
Sr 0.283 0.750 0.070
Al 0.337 0.750 0.722
Ga 0.164 0.250 0.779

Properties
Offset from the most stable computed form ... 0.000 eV per atom
Formation energy from the elements ... -295 meV/atom


Density functional theory data (PBE) for crystalline K13Rb2 at its relaxed geometry.

Cell: 12.2314 12.2314 32.9214 Å, 90.00 90.00 120.00°
Space group R-3m (No. 166, hexagonal axes)
One atom of each set of equivalent atoms:
K 0.0000 0.0000 0.0000
K 0.0849 0.5424 0.3032
K 0.0877 0.5438 0.5583
Rb 0.0000 0.0000 0.2404

Properties
Offset from the most stable computed form ... 0.106 eV per atom
Formation energy from the elements ... 109 meV/atom


Density functional theory data (PBE) for crystalline LiPr2Al3Ga4 at its relaxed geometry.

Cell: 4.336 4.336 10.795 Å, 90.00 90.00 90.00°
Space group P-4m2 (No. 115)
One atom of each set of equivalent atoms:
Li 0.000 0.000 0.000
Pr 0.000 0.500 0.744
Al 0.000 0.500 0.364
Al 0.500 0.500 0.000
Ga 0.000 0.000 0.500
Ga 0.000 0.500 0.135
Ga 0.500 0.500 0.500

Properties
Formation energy from the elements ... -453 meV/atom


Repeat the first record exactly.
Density functional theory data (PBE) for crystalline AgPSe at its relaxed geometry.

Cell: 3.612 3.612 11.346 Å, 90.00 90.00 90.00°
Space group I4mm (No. 107)
One atom of each set of equivalent atoms:
Ag 0.000 0.000 0.000
P 0.000 0.000 0.455
Se 0.000 0.000 0.267

Properties
VASP energy ... -3.70 eV/atom